LaTb6Nd3: relaxed, PBE-GGA.

Values from the calculation:
formation energy = 14.21 kJ/mol of atoms

POSCAR file:
```
LaTb6Nd3
1.0
5.5392 -9.5457 0.0000
5.5392 9.5457 0.0000
0.0000 0.0000 6.3882
La Tb Nd
2 12 6
Cartesian
5.5392 5.9020 3.1941 La
5.5392 -5.9020 0.0000 La
5.5392 8.8156 1.5615 Tb
2.8938 3.9961 4.7905 Tb
5.5392 4.3123 0.1630 Tb
3.6874 0.8489 5.8991 Tb
3.6874 -0.8489 2.7050 Tb
2.8938 -3.9961 1.5964 Tb
8.1846 3.9961 4.7905 Tb
7.3910 0.8489 5.8991 Tb
7.3910 -0.8489 2.7050 Tb
5.5392 -4.3123 3.3571 Tb
8.1846 -3.9961 1.5964 Tb
5.5392 -8.8156 4.7556 Tb
1.9743 2.1724 2.1738 Nd
1.9743 -2.1724 5.3679 Nd
5.5392 2.1457 2.8860 Nd
5.5392 -2.1457 6.0801 Nd
9.1041 2.1724 2.1738 Nd
9.1041 -2.1724 5.3679 Nd
```

Mg2CdSb2: relaxed, PBE-GGA.

Values from the calculation:
energy relative to the elements, uncorrected = -1.0 eV/f.u.

POSCAR file:
```
Mg2CdSb2
1.0
4.8100 0.0000 0.0000
0.0000 4.8776 0.0000
0.0000 0.0000 12.3998
Mg Cd Sb
4 2 4
Cartesian
1.2025 1.2194 0.0143 Mg
1.2025 1.2194 8.6817 Mg
3.6075 3.6582 3.7181 Mg
3.6075 3.6582 12.3855 Mg
1.2025 1.2194 3.6904 Cd
3.6075 3.6582 8.7095 Cd
1.2025 3.6582 1.6322 Sb
1.2025 3.6582 7.2102 Sb
3.6075 1.2194 5.1897 Sb
3.6075 1.2194 10.7677 Sb
```

MgCCl3: relaxed, PBE-GGA.

Values from the calculation:
energy relative to the elements, uncorrected = 2.5 eV/f.u.

POSCAR file:
```
MgCCl3
1.0
4.8862 0.0000 0.0000
0.0000 4.8862 0.0000
0.0000 0.0000 4.8862
Mg C Cl
1 1 3
Cartesian
0.0000 0.0000 0.0000 Mg
2.4431 2.4431 2.4431 C
0.0000 0.0000 2.4431 Cl
0.0000 2.4431 0.0000 Cl
2.4431 0.0000 0.0000 Cl
```

NbReAg3: relaxed, PBE-GGA.

Values from the calculation:
formation energy = 201.75 kJ/mol of atoms

POSCAR file:
```
NbReAg3
1.0
4.9089 0.0000 0.0000
0.0000 4.9089 0.0000
0.0000 0.0000 4.9089
Nb Re Ag
1 1 3
Cartesian
0.0000 0.0000 0.0000 Nb
2.4545 2.4545 2.4545 Re
0.0000 2.4545 2.4545 Ag
2.4545 0.0000 2.4545 Ag
2.4545 2.4545 0.0000 Ag
```

Cs2PuBe2Se4: relaxed, PBE-GGA.

Values from the calculation:
energy relative to the elements, uncorrected = -9.1 eV/f.u.

POSCAR file:
```
Cs2PuBe2Se4
1.0
7.7714 -2.0220 0.0000
7.7714 2.0220 0.0000
-2.8538 0.0000 8.0631
Cs Pu Be Se
2 1 2 4
Cartesian
1.9595 0.0000 0.3473 Cs
10.7295 0.0000 7.7159 Cs
-1.4269 0.0000 4.0316 Pu
3.5771 0.0000 4.2761 Be
9.1119 0.0000 3.7870 Be
1.3993 0.0000 5.0883 Se
5.1639 0.0000 5.8294 Se
7.5251 0.0000 2.2338 Se
11.2897 0.0000 2.9748 Se
```

RbNaTe3: relaxed, PBE-GGA.

Values from the calculation:
energy relative to the elements, uncorrected = 2.1 eV/f.u.

POSCAR file:
```
RbNaTe3
1.0
6.3180 0.0000 0.0000
0.0000 6.3180 0.0000
0.0000 0.0000 6.3180
Rb Na Te
1 1 3
Cartesian
0.0000 0.0000 0.0000 Rb
3.1590 3.1590 3.1590 Na
0.0000 0.0000 3.1590 Te
0.0000 3.1590 0.0000 Te
3.1590 0.0000 0.0000 Te
```

Nb2Co3Ir2: relaxed, PBE-GGA.

Values from the calculation:
formation energy = -22.06 kJ/mol of atoms

POSCAR file:
```
Nb2Co3Ir2
1.0
4.3608 -1.8701 0.0000
4.3608 1.8701 0.0000
-0.8250 0.0000 5.9803
Nb Co Ir
2 3 2
Cartesian
0.4739 0.0000 1.4052 Nb
7.4228 0.0000 4.5751 Nb
1.3283 0.0000 3.7713 Co
3.9483 0.0000 2.9901 Co
6.5683 0.0000 2.2090 Co
3.0439 0.0000 0.5326 Ir
4.8527 0.0000 5.4477 Ir
```

NbTl2Br: relaxed, PBE-GGA.

Values from the calculation:
energy relative to the elements, uncorrected = 2.5 eV/f.u.

POSCAR file:
```
NbTl2Br
1.0
-2.1962 2.1962 11.5135
2.1962 -2.1962 11.5135
2.1962 2.1962 -11.5135
Nb Tl Br
2 4 2
Cartesian
0.0000 0.0000 0.0000 Nb
0.0000 2.1962 5.7567 Nb
3.2942 1.0703 -2.8784 Tl
1.0703 1.0981 2.8784 Tl
-1.0981 1.1258 8.6351 Tl
1.1258 1.0981 14.3918 Tl
2.1962 0.0000 5.7567 Br
0.0000 0.0000 11.5135 Br
```